VASP calculation (GGA+U) on crystalline FeCuNF2 at its relaxed geometry.

a = 3.8907 Å, b = 3.8907 Å, c = 3.8856 Å
α = 90.00°, β = 90.00°, γ = 90.00°
With the nearest neighbours (Å) after each atom.
Space group P4/mmm (No. 123)
Asymmetric unit:
Fe  0.0000  0.0000  0.0000 (multiplicity 1)  8 F 2.75, 4 N 2.75
Cu  0.5000  0.5000  0.5000 (multiplicity 1)  2 N 1.94, 4 F 1.95
N  0.5000  0.5000  0.0000 (multiplicity 1)  2 Cu 1.94
F  0.0000  0.5000  0.5000 (multiplicity 2)  2 Cu 1.95

## Properties
total moment	2.84	μB/cell
energy above the lowest structure with this stoichiometry	0.1684	eV/atom
E_tot	-4.59	eV/atom